# BaReRuO6

A geometry-optimized BaReRuO6 structure (PBE, the Alexandria database).

CIF file:
```
data_BaReRuO6
_chemical_formula_sum 'Ba1 Re1 Ru1 O6'
_cell_length_a 5.399
_cell_length_b 5.399
_cell_length_c 5.593
_cell_angle_alpha 90.00
_cell_angle_beta 90.00
_cell_angle_gamma 120.00
_space_group_name_H-M_alt 'P 1'
_space_group_IT_number 1
loop_
_space_group_symop_operation_xyz
'x,y,z'
loop_
_atom_site_label
_atom_site_type_symbol
_atom_site_fract_x
_atom_site_fract_y
_atom_site_fract_z
Ba1 Ba 0.000 0.000 0.000
Re1 Re 0.333 0.667 0.500
Ru1 Ru 0.667 0.333 0.500
O1 O 0.012 0.396 0.688
O2 O 0.012 0.617 0.312
O3 O 0.383 0.396 0.312
O4 O 0.383 0.988 0.688
O5 O 0.604 0.617 0.688
O6 O 0.604 0.988 0.312
```

Output
The space group is No. 149. The density comes out at 6.12 g/cm³. For the total moment, the calculation gives 1.0 μB/f.u. The value obtained for the total energy is -68.8 eV for the cell shown. The value obtained for the uncorrected formation energy is -1.708 eV per atom.